# 1
{"formula": "La3Pm4Dy4", "functional": "PBE", "state": "relaxed", "total_magnetization_mub_per_fu": 0.00, "n_ef_per_ev_cell": 18.63, "space_group": "Amm2, No. 38", "dft_energy_ha_per_atom": -0.169, "polymorph_energy_mev_per_atom": 15, "lattice_angstrom": [[5.801, 0.000, 0.000], [-2.901, 6.095, 0.000], [0.000, 0.000, 10.859]], "species": ["La", "Dy", "Dy", "Pm", "Pm", "Pm", "Dy", "Dy", "Pm", "La", "La"], "frac_coords": [[0.411, 0.822, 0.289], [0.613, 0.227, 0.500], [0.107, 0.214, 0.305], [0.957, 0.914, 0.000], [0.748, 0.497, 0.785], [0.885, 0.770, 0.500], [0.557, 0.115, 0.000], [0.107, 0.214, 0.695], [0.748, 0.497, 0.215], [0.411, 0.822, 0.711], [0.253, 0.506, 0.000]]}

=====

# 2
{"formula": "ReMoAsBr2", "functional": "PBE", "state": "relaxed", "total_magnetization_mub_per_fu": 1.74, "n_ef_per_ev_cell": 5.06, "space_group": "P4/mmm, No. 123", "formation_energy_uncorrected_ev_per_atom": 1.38, "dft_energy_ha_per_atom": -0.179, "polymorph_energy_mev_per_atom": 109, "lattice_angstrom": [[-0.026, -4.833, -0.849], [5.019, 0.071, -0.554], [0.542, -0.847, 4.803]], "species": ["Mo", "Re", "Br", "Br", "As"], "frac_coords": [[0.000, 0.000, 0.000], [0.000, 0.500, 0.000], [0.000, 0.000, 0.500], [0.500, 0.000, 0.000], [0.500, 0.500, 0.500]]}

=====

# 3
{"formula": "CrCdPb2", "functional": "PBE", "state": "relaxed", "total_magnetization_mub_per_fu": 4.16, "n_ef_per_ev_cell": 2.12, "space_group": "C2/m, No. 12", "dft_energy_ha_per_atom": -0.151, "lattice_angstrom": [[5.406, -0.122, -0.169], [-1.093, 5.296, -0.169], [0.121, 0.145, 3.505]], "species": ["Pb", "Cd", "Pb", "Cr"], "frac_coords": [[0.000, 0.000, 0.000], [0.500, 0.000, 0.500], [0.500, 0.500, 0.000], [0.000, 0.500, 0.500]]}

=====

# 4
{"formula": "BeIrS2N", "functional": "PBE", "state": "relaxed", "total_magnetization_mub_per_fu": 0.48, "n_ef_per_ev_cell": 3.61, "space_group": "P4/mmm, No. 123", "formation_energy_uncorrected_ev_per_atom": 0.80, "dft_energy_ha_per_atom": -0.185, "polymorph_energy_mev_per_atom": 8, "lattice_angstrom": [[4.556, 0.000, 0.000], [0.000, 4.556, 0.000], [0.000, 0.000, 3.021]], "species": ["S", "Ir", "N", "Be", "S"], "frac_coords": [[0.500, 0.000, 0.000], [0.500, 0.500, 0.500], [0.000, 0.000, 0.500], [0.000, 0.000, 0.000], [0.000, 0.500, 0.000]]}

=====

# 5
{"formula": "PmAs2Pd8", "functional": "PBE", "state": "relaxed", "total_magnetization_mub_per_fu": 0.00, "n_ef_per_ev_cell": 3.13, "space_group": "P4/mmm, No. 123", "dft_energy_ha_per_atom": -0.193, "lattice_angstrom": [[5.621, 0.000, 0.000], [0.000, 5.621, 0.000], [0.000, 0.000, 7.251]], "species": ["Pd", "As", "Pm", "Pd", "Pd", "Pd", "Pd", "Pd", "As", "Pd", "Pd"], "frac_coords": [[0.245, 0.245, 0.789], [0.000, 0.500, 0.000], [0.500, 0.500, 0.500], [0.245, 0.245, 0.211], [0.755, 0.755, 0.789], [0.245, 0.755, 0.211], [0.755, 0.755, 0.211], [0.755, 0.245, 0.789], [0.500, 0.000, 0.000], [0.755, 0.245, 0.211], [0.245, 0.755, 0.789]]}

=====

# 6
{"formula": "PdPbI", "functional": "PBE", "state": "relaxed", "total_magnetization_mub_per_fu": 0.00, "n_ef_per_ev_cell": 1.17, "space_group": "Pmmn, No. 59", "formation_energy_uncorrected_ev_per_atom": -0.28, "dft_energy_ha_per_atom": -0.138, "polymorph_energy_mev_per_atom": 0, "lattice_angstrom": [[4.473, -0.073, -0.050], [0.086, 5.288, -0.006], [0.099, 0.011, 8.626]], "species": ["Pd", "Pb", "I", "I", "Pb", "Pd"], "frac_coords": [[0.753, 0.752, 0.837], [0.253, 0.752, 0.044], [0.753, 0.252, 0.346], [0.253, 0.752, 0.658], [0.753, 0.251, 0.960], [0.253, 0.251, 0.167]]}

=====

# 7
{"formula": "Er7Tm3Tl2", "functional": "PBE", "state": "relaxed", "total_magnetization_mub_per_fu": 0.00, "n_ef_per_ev_cell": 11.08, "space_group": "P2/m, No. 10", "dft_energy_ha_per_atom": -0.154, "lattice_angstrom": [[-2.326, 2.697, 0.018], [-4.178, -3.606, 0.609], [2.416, 1.961, 17.932]], "species": ["Tm", "Er", "Tl", "Tm", "Tl", "Er", "Er", "Er", "Er", "Tm", "Er", "Er"], "frac_coords": [[0.000, 0.224, 0.369], [0.000, 0.000, 0.000], [0.500, 0.703, 0.292], [0.000, 0.776, 0.631], [0.500, 0.297, 0.708], [0.500, 0.833, 0.829], [0.000, 0.664, 0.147], [0.500, 0.167, 0.171], [0.500, 0.258, 0.542], [0.500, 0.500, 0.000], [0.500, 0.742, 0.458], [0.000, 0.336, 0.853]]}

=====

# 8
{"formula": "Tb2TlOsO8", "functional": "PBE", "state": "relaxed", "total_magnetization_mub_per_fu": 1.01, "n_ef_per_ev_cell": 3.89, "space_group": "C2/m, No. 12", "formation_energy_uncorrected_ev_per_atom": -1.95, "dft_energy_ha_per_atom": -0.263, "lattice_angstrom": [[4.945, -0.109, -0.002], [-0.093, 4.945, -0.004], [0.007, 0.010, 7.091]], "species": ["O", "O", "Tb", "Os", "O", "O", "Tl", "O", "O", "Tb", "O", "O"], "frac_coords": [[0.697, 0.697, 0.501], [0.815, 0.183, 0.196], [0.499, 0.499, 0.752], [0.000, 0.000, 0.000], [0.183, 0.815, 0.196], [0.817, 0.185, 0.804], [0.000, 0.000, 0.500], [0.185, 0.817, 0.804], [0.303, 0.303, 0.499], [0.501, 0.501, 0.248], [0.276, 0.276, 0.001], [0.724, 0.724, 0.999]]}

=====

# 9
{"formula": "PuHgH2F8", "functional": "PBE", "state": "relaxed", "total_magnetization_mub_per_fu": 4.00, "n_ef_per_ev_cell": 6.22, "space_group": "P-1, No. 2", "dft_energy_ha_per_atom": -0.195, "lattice_angstrom": [[-3.320, -1.832, 0.544], [-1.809, -2.083, -4.728], [4.112, -6.581, 2.956]], "species": ["F", "F", "H", "F", "F", "F", "Hg", "F", "F", "H", "F", "Pu"], "frac_coords": [[0.619, 0.761, 0.948], [0.846, 0.310, 0.285], [0.254, 0.492, 0.651], [0.635, 0.731, 0.444], [0.903, 0.194, 0.798], [0.365, 0.269, 0.556], [0.000, 0.000, 0.500], [0.381, 0.239, 0.052], [0.097, 0.806, 0.202], [0.746, 0.508, 0.349], [0.154, 0.690, 0.715], [0.000, 0.000, 0.000]]}

=====

# 10
{"formula": "Cs2BaSmI6", "functional": "PBE", "state": "relaxed", "total_magnetization_mub_per_fu": 0.82, "n_ef_per_ev_cell": 4.68, "space_group": "Immm, No. 71", "formation_energy_uncorrected_ev_per_atom": -1.45, "dft_energy_ha_per_atom": -0.118, "lattice_angstrom": [[9.173, -0.001, -0.006], [0.000, 9.170, 0.005], [4.582, 4.588, 6.486]], "species": ["I", "I", "Cs", "I", "Ba", "Sm", "Cs", "I", "I", "I"], "frac_coords": [[0.761, 0.761, 0.479], [0.239, 0.239, 0.521], [0.750, 0.250, 0.500], [0.239, 0.761, 0.000], [0.500, 0.500, 0.000], [0.000, 0.000, 0.000], [0.250, 0.750, 0.500], [0.760, 0.761, 0.000], [0.761, 0.239, 0.000], [0.240, 0.239, 0.000]]}